# 1
## CeSi3Rh (GGA-PBE)

Data for a relaxed structure of CeSi3Rh. Values from VASP.

Output
Its formation energy without anion corrections is -3.461 eV per formula unit. The value obtained for the final energy is -6.603 eV/atom.

Quantum ESPRESSO input file:
```
&SYSTEM
  ibrav = 0, nat = 10, ntyp = 3
/
ATOMIC_SPECIES
Ce 140.12 Ce.upf
Si 28.09 Si.upf
Rh 102.91 Rh.upf
CELL_PARAMETERS angstrom
5.857 0.000 0.000
0.000 5.541 0.000
0.000 0.000 5.650
ATOMIC_POSITIONS angstrom
Ce 0.000 0.812 0.000
Ce 2.928 4.729 2.825
Si 0.000 5.161 3.041
Si 1.284 1.729 2.692
Si 1.645 3.813 5.517
Si 2.928 0.380 0.216
Si 4.212 3.813 5.517
Si 4.573 1.729 2.692
Rh 0.000 3.403 1.510
Rh 2.928 2.138 4.335
```



# 2
## LiP2Ru (GGA-PBE)

Data for a relaxed structure of LiP2Ru. Values from VASP.

Output
The offset from the most stable computed form comes out at 10.3 meV/atom. The value obtained for the formation energy from the elements is -0.346 eV per atom. The value obtained for the final energy is -5.849 eV/atom.

Quantum ESPRESSO input file:
```
&SYSTEM
  ibrav = 0, nat = 4, ntyp = 3
/
ATOMIC_SPECIES
Li 6.94 Li.upf
P 30.97 P.upf
Ru 101.07 Ru.upf
CELL_PARAMETERS angstrom
3.742 -1.478 0.000
3.742 1.478 0.000
-0.900 0.000 5.122
ATOMIC_POSITIONS angstrom
Li 0.000 0.000 0.000
P 1.122 0.000 3.663
P 5.463 0.000 1.458
Ru 3.293 0.000 2.561
```



# 3
## Rb3Tb3TaSe8 (GGA-PBE)

Data for a relaxed structure of Rb3Tb3TaSe8. Values from VASP.

Output
Its formation energy without anion corrections is -22.468 eV per formula unit. The value obtained for the final energy is -5.266 eV/atom.

Quantum ESPRESSO input file:
```
&SYSTEM
  ibrav = 0, nat = 15, ntyp = 4
/
ATOMIC_SPECIES
Rb 85.47 Rb.upf
Tb 158.93 Tb.upf
Ta 180.95 Ta.upf
Se 78.96 Se.upf
CELL_PARAMETERS angstrom
7.114 -4.106 0.000
7.114 4.106 0.000
-4.744 0.000 8.207
ATOMIC_POSITIONS angstrom
Rb 0.000 0.000 0.000
Rb 3.557 2.053 0.000
Rb 3.557 -2.053 0.000
Tb 1.185 2.053 4.103
Tb 1.185 -2.053 4.103
Tb 4.742 0.000 4.103
Ta -2.372 0.000 4.103
Se -0.168 0.000 5.633
Se 3.650 2.201 5.631
Se 5.835 2.201 2.576
Se 2.370 0.000 2.478
Se 7.114 0.000 5.729
Se 3.650 -2.201 5.631
Se 5.835 -2.201 2.576
Se 9.652 0.000 2.574
```